1.
Computed, not measured: an optimized crystal structure of VFe2MoH at the PBE level of DFT.

POSCAR file:
```
VFe2MoH
1.0
-2.520 -2.602 -0.357
2.526 -2.536 0.661
-0.790 0.230 3.900
Fe H V Mo
2 1 1 1
Direct
0.000 0.500 0.000
0.500 0.000 0.000
0.000 0.000 0.000
0.500 0.500 0.500
0.000 0.000 0.500
```

Summary:
The value obtained for the raw total energy is -39.96 eV/cell. For the spin magnetization, the calculation gives 0.4602 μB per atom.

***

2.
Computed, not measured: an optimized crystal structure of Li2La2TmIn5 at the PBE level of DFT.

POSCAR file:
```
Li2La2TmIn5
1.0
4.579 0.000 0.000
0.000 10.418 0.000
0.000 0.000 10.418
Li La In Tm
4 4 10 2
Direct
0.000 0.885 0.385
0.000 0.615 0.885
0.000 0.115 0.615
0.000 0.385 0.115
0.000 0.180 0.320
0.000 0.820 0.680
0.000 0.680 0.180
0.000 0.320 0.820
0.500 0.790 0.936
0.500 0.210 0.064
0.500 0.564 0.710
0.500 0.500 0.000
0.500 0.936 0.210
0.500 0.710 0.436
0.500 0.000 0.500
0.500 0.436 0.290
0.500 0.290 0.564
0.500 0.064 0.790
0.000 0.000 0.000
0.000 0.500 0.500
```

Summary:
The value obtained for the raw total energy is -72.61 eV/cell. The value obtained for the formation enthalpy at 0 K is -446 meV/atom. For the spin magnetization, the calculation gives 0.0000 μB per atom.

***

3.
Computed, not measured: an optimized crystal structure of AcMg4Hg12 at the PBE level of DFT.

POSCAR file:
```
AcMg4Hg12
1.0
-7.353 -4.185 0.899
4.255 -0.128 7.367
-1.578 8.059 -2.224
Hg Ac Mg
12 1 4
Direct
0.196 0.848 0.348
0.348 0.196 0.848
0.848 0.348 0.196
0.652 0.500 0.848
0.152 0.652 0.804
0.652 0.804 0.152
0.848 0.652 0.500
0.500 0.152 0.348
0.152 0.348 0.500
0.348 0.500 0.152
0.500 0.848 0.652
0.804 0.152 0.652
0.000 0.000 0.000
0.000 0.000 0.500
0.000 0.500 0.000
0.500 0.000 0.000
0.500 0.500 0.500
```

Summary:
The value obtained for the raw total energy is -15.19 eV/cell. The value obtained for the formation enthalpy at 0 K is -64 meV/atom. For the spin magnetization, the calculation gives 0.0000 μB per atom.